Record 1
HoBCl2: relaxed, GGA-PBE.

abc: 4.8519 5.4920 6.7840
angles: 70.65 84.67 89.81
Last column: nearest neighbours and their distance in Å.
Space group P-1 (No. 2)
Symmetry-distinct sites (fractional):
Ho 0.1857 0.3372 0.3244 (multiplicity 2)  2 B 2.49-2.77, 1 Cl 2.74
B 0.2173 0.7986 0.4045 (multiplicity 2)  1 Cl 1.80
Cl 0.2462 0.6885 0.9010 (multiplicity 2)  3 Ho 2.74-3.05, 2 Cl 3.06
Cl 0.4474 0.2535 0.7110 (multiplicity 2)  1 B 1.80

Results
For the calculated volume, the calculation gives 170 Å³ per cell. The value obtained for the theoretical density is 4.8 g/cm3. The calculation puts the uncorrected energy at -17.45 eV per formula unit.

---

Record 2
Y2Ho2BI3Cl2: relaxed, GGA-PBE.

abc: 18.3686 3.9752 8.4801
angles: 90.00 99.85 90.00
Last column: nearest neighbours and their distance in Å.
Space group C2/m (No. 12)
Symmetry-distinct sites (fractional):
Y 0.1377 0.0000 0.0676 (multiplicity 4)  1 B 2.50, 2 Cl 2.75
Ho 0.0016 0.5000 0.8040 (multiplicity 4)  2 B 2.59, 1 Cl 2.76
B 0.0000 0.0000 0.0000 (multiplicity 2)  2 Y 2.50, 4 Ho 2.59
I 0.0000 0.0000 0.5000 (multiplicity 2)  4 Ho 3.25
I 0.1762 0.5000 0.8098 (multiplicity 4)  3 Y 3.12-3.40, 1 Ho 3.20
Cl 0.1496 0.5000 0.2943 (multiplicity 4)  2 Y 2.75, 1 Ho 2.76

Results
For the calculated volume, the calculation gives 610 Å³ per cell. The value obtained for the theoretical density is 5.3 g/cm3. The calculation puts the uncorrected energy at -50.35 eV per formula unit.

---

Record 3
Nd2Ho2BCl5: relaxed, GGA-PBE.

abc: 17.4282 3.8911 8.2422
angles: 90.00 103.23 90.00
Last column: nearest neighbours and their distance in Å.
Space group C2/m (No. 12)
Symmetry-distinct sites (fractional):
Nd 0.0018 0.0000 0.2792 (multiplicity 4)  2 B 2.67, 2 Cl 2.90-2.95
Ho 0.1461 0.5000 0.5805 (multiplicity 4)  1 B 2.48, 2 Cl 2.72
B 0.0000 0.5000 0.5000 (multiplicity 2)  2 Ho 2.48, 4 Nd 2.67
Cl 0.0000 0.5000 0.0000 (multiplicity 2)  4 Nd 3.01
Cl 0.1691 0.0000 0.8167 (multiplicity 4)  2 Ho 2.72, 1 Nd 2.90
Cl 0.1757 0.0000 0.3623 (multiplicity 4)  3 Ho 2.78-3.03, 1 Nd 2.95

Results
For the calculated volume, the calculation gives 544 Å³ per cell. The value obtained for the theoretical density is 4.9 g/cm3. The calculation puts the uncorrected energy at -51.15 eV per formula unit.

---

Record 4
Y2Ho2BCl5: relaxed, GGA-PBE.

abc: 17.1803 3.8082 7.8661
angles: 90.00 103.28 90.00
Last column: nearest neighbours and their distance in Å.
Space group C2/m (No. 12)
Symmetry-distinct sites (fractional):
Y 0.0012 0.0000 0.2828 (multiplicity 4)  2 B 2.56, 1 Cl 2.80
Ho 0.1468 0.5000 0.5824 (multiplicity 4)  1 B 2.46, 2 Cl 2.71
B 0.0000 0.5000 0.5000 (multiplicity 2)  2 Ho 2.46, 4 Y 2.56
Cl 0.0000 0.5000 0.0000 (multiplicity 2)  4 Y 2.92
Cl 0.1658 0.0000 0.8329 (multiplicity 4)  2 Ho 2.71, 1 Y 2.80
Cl 0.1730 0.0000 0.3465 (multiplicity 4)  3 Ho 2.77-3.02, 1 Y 2.88

Results
For the calculated volume, the calculation gives 501 Å³ per cell. The value obtained for the theoretical density is 4.6 g/cm3. The calculation puts the uncorrected energy at -54.68 eV per formula unit.

---

Record 5
Nd2Sm2B2I2Cl3: relaxed, GGA-PBE.

abc: 20.6093 3.9943 8.0918
angles: 90.00 101.00 90.00
Last column: nearest neighbours and their distance in Å.
Space group C2/m (No. 12)
Symmetry-distinct sites (fractional):
Nd 0.0021 0.0000 0.2138 (multiplicity 4)  4 B 2.73-2.78
Sm 0.1562 0.5000 0.1003 (multiplicity 4)  1 B 2.38
B 0.0389 0.5000 0.0213 (multiplicity 4)  1 B 1.57
I 0.1699 0.0000 0.8064 (multiplicity 4)  3 Sm 3.16-3.52, 1 Nd 3.52
Cl 0.0000 0.5000 0.5000 (multiplicity 2)  4 Nd 3.06
Cl 0.1538 0.0000 0.3347 (multiplicity 4)  2 Sm 2.76

Results
For the calculated volume, the calculation gives 654 Å³ per cell. The value obtained for the theoretical density is 4.9 g/cm3. The calculation puts the uncorrected energy at -55.15 eV per formula unit.

---

Record 6
Nd2Sm2B2ICl4: relaxed, GGA-PBE.

abc: 19.9160 3.9861 8.7175
angles: 90.00 104.13 90.00
Last column: nearest neighbours and their distance in Å.
Space group C2/m (No. 12)
Symmetry-distinct sites (fractional):
Nd 0.0041 0.0000 0.1965 (multiplicity 4)  4 B 2.72-2.74
Sm 0.1640 0.5000 0.0996 (multiplicity 4)  1 B 2.38
B 0.0408 0.5000 0.0207 (multiplicity 4)  1 B 1.58
I 0.0000 0.5000 0.5000 (multiplicity 2)  4 Nd 3.33
Cl 0.1656 0.0000 0.3205 (multiplicity 4)  2 Sm 2.77
Cl 0.1759 0.0000 0.8775 (multiplicity 4)  3 Sm 2.83-3.15

Results
For the calculated volume, the calculation gives 671 Å³ per cell. The value obtained for the theoretical density is 4.4 g/cm3. The calculation puts the uncorrected energy at -56.48 eV per formula unit.

---

Record 7
Sm2Y2BI3Cl2: relaxed, GGA-PBE.

abc: 18.5781 4.0371 8.7446
angles: 90.00 100.02 90.00
Last column: nearest neighbours and their distance in Å.
Space group C2/m (No. 12)
Symmetry-distinct sites (fractional):
Sm 0.0016 0.0000 0.2999 (multiplicity 4)  2 B 2.68, 1 Cl 2.84
Y 0.1371 0.5000 0.5665 (multiplicity 4)  1 B 2.51, 2 Cl 2.75
B 0.0000 0.5000 0.5000 (multiplicity 2)  2 Y 2.51, 4 Sm 2.68
I 0.0000 0.5000 0.0000 (multiplicity 2)  4 Sm 3.31
I 0.1776 0.0000 0.3203 (multiplicity 4)  3 Y 3.14-3.41, 1 Sm 3.24
Cl 0.1529 0.0000 0.7835 (multiplicity 4)  2 Y 2.75, 1 Sm 2.84

Results
For the calculated volume, the calculation gives 646 Å³ per cell. The value obtained for the theoretical density is 4.8 g/cm3. The calculation puts the uncorrected energy at -50.71 eV per formula unit.

---

Record 8
Pr2Nd2BCl5: relaxed, GGA-PBE.

abc: 18.0671 4.0032 8.1827
angles: 90.00 104.71 90.00
Last column: nearest neighbours and their distance in Å.
Space group C2/m (No. 12)
Symmetry-distinct sites (fractional):
Pr 0.1497 0.0000 0.0909 (multiplicity 4)  1 B 2.62, 4 Cl 2.85-2.91
Nd 0.0011 0.5000 0.7784 (multiplicity 4)  2 B 2.70, 4 Cl 2.88-3.03
B 0.0000 0.0000 0.0000 (multiplicity 2)  2 Pr 2.62, 4 Nd 2.70
Cl 0.0000 0.0000 0.5000 (multiplicity 2)  4 Nd 3.03
Cl 0.1632 0.5000 0.3439 (multiplicity 4)  2 Pr 2.85, 1 Nd 2.88
Cl 0.1690 0.5000 0.8468 (multiplicity 4)  3 Pr 2.91-3.18, 1 Nd 2.94

Results
For the calculated volume, the calculation gives 572 Å³ per cell. The value obtained for the theoretical density is 4.4 g/cm3. The calculation puts the uncorrected energy at -51.53 eV per formula unit.

---

Record 9
Nd2Y2BCl5: relaxed, GGA-PBE.

abc: 17.6666 3.8809 7.9063
angles: 90.00 104.46 90.00
Last column: nearest neighbours and their distance in Å.
Space group C2/m (No. 12)
Symmetry-distinct sites (fractional):
Nd 0.1510 0.0000 0.0901 (multiplicity 4)  1 B 2.58, 4 Cl 2.82-2.88
Y 0.0006 0.5000 0.7827 (multiplicity 4)  2 B 2.59, 2 Cl 2.78-2.85
B 0.0000 0.0000 0.0000 (multiplicity 2)  2 Nd 2.58, 4 Y 2.59
Cl 0.0000 0.0000 0.5000 (multiplicity 2)  4 Y 2.96
Cl 0.1603 0.5000 0.3539 (multiplicity 4)  1 Y 2.78, 2 Nd 2.82
Cl 0.1659 0.5000 0.8308 (multiplicity 4)  1 Y 2.85, 3 Nd 2.88-3.14

Results
For the calculated volume, the calculation gives 525 Å³ per cell. The value obtained for the theoretical density is 4.1 g/cm3. The calculation puts the uncorrected energy at -55.04 eV per formula unit.

---

Record 10
Tb4BClO7: relaxed, GGA-PBE.

abc: 8.6149 8.0624 12.3375
angles: 90.00 120.98 90.00
Last column: nearest neighbours and their distance in Å.
Space group P2_1/c (No. 14)
Symmetry-distinct sites (fractional):
Tb 0.0730 0.1373 0.4203 (multiplicity 4)  5 O 2.25-2.34
Tb 0.0816 0.6173 0.4125 (multiplicity 4)  6 O 2.27-2.40
Tb 0.2997 0.1279 0.7802 (multiplicity 4)  6 O 2.22-2.35
Tb 0.3181 0.6144 0.7809 (multiplicity 4)  5 O 2.21-2.34
B 0.3688 0.1283 0.0862 (multiplicity 4)  3 O 1.37-1.38
Cl 0.3817 0.6397 0.0336 (multiplicity 4)  5 Tb 2.88-3.19, 3 O 3.12-3.14
O 0.0392 0.1230 0.5963 (multiplicity 4)  4 Tb 2.22-2.34
O 0.0681 0.6225 0.5920 (multiplicity 4)  4 Tb 2.21-2.31
O 0.1761 0.1169 0.2807 (multiplicity 4)  4 Tb 2.23-2.32
O 0.1948 0.6364 0.2761 (multiplicity 4)  4 Tb 2.26-2.34
O 0.2789 0.1157 0.9563 (multiplicity 4)  1 B 1.38
O 0.3877 0.2168 0.6382 (multiplicity 4)  1 B 1.38
O 0.4258 0.5122 0.6591 (multiplicity 4)  1 B 1.37

Results
For the calculated volume, the calculation gives 735 Å³ per cell. The value obtained for the theoretical density is 7.2 g/cm3. The calculation puts the uncorrected energy at -104.60 eV per formula unit.

---

Record 11
Tm4BClO7: relaxed, GGA-PBE.

abc: 8.4042 7.8970 11.9921
angles: 90.00 119.30 90.00
Last column: nearest neighbours and their distance in Å.
Space group P2_1/c (No. 14)
Symmetry-distinct sites (fractional):
Tm 0.0687 0.1397 0.4189 (multiplicity 4)  5 O 2.21-2.27
Tm 0.0739 0.6172 0.4076 (multiplicity 4)  6 O 2.22-2.32
Tm 0.2959 0.1246 0.7773 (multiplicity 4)  6 O 2.18-2.29
Tm 0.3182 0.6144 0.7796 (multiplicity 4)  5 O 2.17-2.30
B 0.3702 0.1308 0.0860 (multiplicity 4)  3 O 1.37-1.38
Cl 0.3808 0.6524 0.0301 (multiplicity 4)  3 Tm 2.80-3.11, 3 O 3.08-3.09
O 0.0388 0.1224 0.5970 (multiplicity 4)  4 Tm 2.18-2.27
O 0.0755 0.6209 0.5928 (multiplicity 4)  4 Tm 2.17-2.26
O 0.1806 0.1178 0.2827 (multiplicity 4)  4 Tm 2.18-2.27
O 0.1896 0.6374 0.2727 (multiplicity 4)  4 Tm 2.22-2.26
O 0.2726 0.1091 0.9553 (multiplicity 4)  1 B 1.38
O 0.3859 0.2077 0.6333 (multiplicity 4)  1 B 1.37
O 0.4392 0.5040 0.6671 (multiplicity 4)  1 B 1.37

Results
For the calculated volume, the calculation gives 694 Å³ per cell. The value obtained for the theoretical density is 8.0 g/cm3. The calculation puts the uncorrected energy at -104.58 eV per formula unit.

---

Record 12
PmB4Cl2: relaxed, GGA-PBE.

abc: 4.6642 4.6642 9.7452
angles: 90.00 90.00 90.00
Last column: nearest neighbours and their distance in Å.
Space group I4/mmm (No. 139)
Symmetry-distinct sites (fractional):
Pm 0.0000 0.0000 0.0000 (multiplicity 2)  8 B 2.57
B 0.0000 0.2675 0.5000 (multiplicity 8)  2 B 1.76
Cl 0.0000 0.5000 0.2500 (multiplicity 4)  4 B 2.67

Results
For the calculated volume, the calculation gives 212 Å³ per cell. The value obtained for the theoretical density is 4.1 g/cm3. The calculation puts the uncorrected energy at -34.76 eV per formula unit.